Below is a relaxed Li15Ca6Ag8 crystal, with properties calculated at the PBE level.

The space group is Fm-3m (No. 225) and the conventional cell measures 13.557, 13.557 and 13.557 Å, with angles of 90.00, 90.00 and 90.00 degrees. The distinct sites, in fractional coordinates, are Li at (0.000, 0.000, 0.000), Li at (0.000, 0.250, 0.250), Li at (0.176, 0.176, 0.324), Ca at (0.000, 0.000, 0.280) and Ag at (0.124, 0.124, 0.124).

The value obtained for the formation energy is -159 meV/atom. As for the density of states at the Fermi level: 64.1 states/eV per cell.



Below is a relaxed TcTeCN2 crystal, with properties calculated at the PBE level.

The space group is P4/mmm (No. 123) and the conventional cell measures 3.734, 3.734 and 5.795 Å, with angles of 90.00, 90.00 and 90.00 degrees. The distinct sites, in fractional coordinates, are Tc at (0.000, 0.000, 0.000), Te at (0.000, 0.000, 0.500), C at (0.500, 0.500, 0.500) and N at (0.000, 0.500, 0.000).

As for the density of states at the Fermi level: 2.6 states/eV per cell. For the raw formation energy, the calculation gives 1.525 eV per atom.



Below is a relaxed Ce7Ga3Sn crystal, with properties calculated at the PBE level.

The space group is C2/m (No. 12) and the conventional cell measures 10.820, 11.371 and 5.850 Å, with angles of 90.00, 122.64 and 90.00 degrees. The distinct sites, in fractional coordinates, are Ce at (0.000, 0.000, 0.000), Ce at (0.152, 0.500, 0.152), Ce at (0.157, 0.264, 0.657), Ga at (0.000, 0.263, 0.000), Ga at (0.000, 0.500, 0.500) and Sn at (0.000, 0.000, 0.500).

The value obtained for the formation energy is -274 meV/atom. As for the density of states at the Fermi level: 65.8 states/eV per cell.



Below is a relaxed Cr2GaCuW crystal, with properties calculated at the PBE level.

The space group is P4/mmm (No. 123) and the conventional cell measures 4.479, 4.479 and 4.240 Å, with angles of 90.00, 90.00 and 90.00 degrees. The distinct sites, in fractional coordinates, are Cr at (0.000, 0.500, 0.000), Ga at (0.000, 0.000, 0.500), Cu at (0.000, 0.000, 0.000) and W at (0.500, 0.500, 0.500).

The value obtained for the formation energy is 1328 meV/atom. As for the density of states at the Fermi level: 4.0 states/eV per cell.



Below is a relaxed LaPr5Ga6 crystal, with properties calculated at the PBE level.

The space group is C2/m (No. 12) and the conventional cell measures 16.688, 7.475 and 5.275 Å, with angles of 90.00, 108.29 and 90.00 degrees. The distinct sites, in fractional coordinates, are La at (0.000, 0.000, 0.000), Pr at (0.000, 0.500, 0.000), Pr at (0.163, 0.000, 0.663), Pr at (0.169, 0.500, 0.669), Ga at (0.000, 0.259, 0.500) and Ga at (0.168, 0.254, 0.168).

The value obtained for the formation energy is -546 meV/atom. As for the density of states at the Fermi level: 11.6 states/eV per cell.



Below is a relaxed KYC crystal, with properties calculated at the PBE level.

The space group is F-43m (No. 216) and the conventional cell measures 6.377, 6.377 and 6.377 Å, with angles of 90.00, 90.00 and 90.00 degrees. The distinct sites, in fractional coordinates, are K at (0.000, 0.000, 0.000), Y at (0.000, 0.000, 0.500) and C at (0.250, 0.250, 0.750).

The value obtained for the formation energy is 939 meV/atom. As for the density of states at the Fermi level: 0.0 states/eV per cell.



Below is a relaxed NbPd6Au3 crystal, with properties calculated at the PBE level.

The space group is P2_1/m (No. 11) and the conventional cell measures 8.859, 4.077 and 9.110 Å, with angles of 90.00, 92.29 and 90.00 degrees. The distinct sites, in fractional coordinates, are Nb at (0.062, 0.250, 0.375), Pd at (0.049, 0.750, 0.897), Pd at (0.135, 0.250, 0.686), Pd at (0.150, 0.750, 0.205), Pd at (0.231, 0.750, 0.500), Pd at (0.346, 0.250, 0.303), Pd at (0.449, 0.750, 0.100), Au at (0.249, 0.250, 0.000), Au at (0.348, 0.750, 0.799) and Au at (0.449, 0.250, 0.600).

The value obtained for the formation energy is -215 meV/atom. As for the density of states at the Fermi level: 10.0 states/eV per cell.



Below is a relaxed Tm2CoOs crystal, with properties calculated at the PBE level.

The space group is Fm-3m (No. 225) and the conventional cell measures 6.661, 6.661 and 6.661 Å, with angles of 90.00, 90.00 and 90.00 degrees. The distinct sites, in fractional coordinates, are Tm at (0.250, 0.250, 0.250), Co at (0.000, 0.000, 0.000) and Os at (0.000, 0.000, 0.500).

The value obtained for the formation energy is -219 meV/atom. As for the density of states at the Fermi level: 14.4 states/eV per cell.